# 1
GdPu2Ga | PBE | optimized geometry

DOS(E_F)	12.5	states/eV per cell
crystal system	tetragonal
energy relative to the lowest polymorph listed for this composition	0.1139	eV per atom
energy of formation from the pure elements	-0.957	kcal/mol of atoms

a b c (Å): 3.983 3.983 6.458
angles (deg): 90.00 90.00 90.00
Element x y z (fractional)
Ga: 0.500 0.500 0.000
Pu: 0.000 0.000 0.221
Pu: 0.000 0.000 0.779
Gd: 0.500 0.500 0.500

# 2
VFe3Co | PBE | optimized geometry

DOS(E_F)	8.2	states/eV per cell
crystal system	cubic
energy relative to the lowest polymorph listed for this composition	1.3321	eV per atom
energy of formation from the pure elements	28.896	kcal/mol of atoms

a b c (Å): 4.184 4.184 4.184
angles (deg): 90.00 90.00 90.00
Element x y z (fractional)
Fe: 0.000 0.000 0.500
Fe: 0.500 0.000 0.000
Fe: 0.000 0.500 0.000
Co: 0.500 0.500 0.500
V: 0.000 0.000 0.000

# 3
PmHgPtRh | PBE | optimized geometry

DOS(E_F)	2.4	states/eV per cell
crystal system	cubic
energy of formation from the pure elements	-11.990	kcal/mol of atoms

a b c (Å): 4.823 4.823 4.823
angles (deg): 60.00 60.00 60.00
Element x y z (fractional)
Pt: 0.750 0.750 0.750
Hg: 0.500 0.500 0.500
Pm: 0.000 0.000 0.000
Rh: 0.250 0.250 0.250

# 4
La5Nd12Er2 | PBE | optimized geometry

DOS(E_F)	30.1	states/eV per cell
crystal system	monoclinic
energy relative to the lowest polymorph listed for this composition	0.0000	eV per atom
energy of formation from the pure elements	2.130	kcal/mol of atoms

a b c (Å): 6.317 10.930 10.930
angles (deg): 66.31 79.12 79.12
Element x y z (fractional)
Nd: 0.801 0.943 0.450
Nd: 0.003 0.121 0.121
Nd: 0.199 0.550 0.057
Nd: 0.727 0.552 0.552
Nd: 0.617 0.643 0.154
Nd: 0.273 0.448 0.448
Nd: 0.383 0.846 0.357
Nd: 0.997 0.879 0.879
Nd: 0.383 0.357 0.846
Nd: 0.199 0.057 0.550
Nd: 0.801 0.450 0.943
Nd: 0.617 0.154 0.643
La: 0.852 0.325 0.325
La: 0.555 0.786 0.786
La: 0.445 0.214 0.214
La: 0.148 0.675 0.675
La: 0.500 0.000 0.000
Er: 0.000 0.228 0.772
Er: 0.000 0.772 0.228